No. 1
Below is crystalline RbPd2PbCl at its relaxed geometry, with properties calculated at the PBE-GGA level.

Calculated values
The value obtained for the total magnetization is 0.00 μB per formula unit. The electronic total energy comes out at -2.733 eV/atom. The calculation puts the uncorrected formation energy at 648 meV/atom. As for the crystal system: tetragonal. As for the density of states at the Fermi level: 1.96 states/eV/cell. The volume comes out at 156.4 Å³ per cell.

Cell lengths 5.259, 5.656, 5.259 Å; angles 90.00, 90.00, 90.00 degrees
Element x y z (fractional)
Rb (0.000, 0.000, 0.000)
Cl (0.000, 0.500, 0.000)
Pb (0.500, 0.500, 0.500)
Pd (0.000, 0.000, 0.500)
Pd (0.500, 0.000, 0.000)



No. 2
Below is crystalline RePdPb2Cl at its relaxed geometry, with properties calculated at the PBE-GGA level.

Calculated values
The value obtained for the total magnetization is 0.75 μB per formula unit. The electronic total energy comes out at -4.219 eV/atom. The calculation puts the uncorrected formation energy at 1162 meV/atom. As for the crystal system: tetragonal. As for the density of states at the Fermi level: 4.00 states/eV/cell. The volume comes out at 132.1 Å³ per cell.

Cell lengths 5.563, 4.267, 5.563 Å; angles 90.00, 90.00, 90.00 degrees
Last column: magnetic moment on the atom in μB.
Element x y z (fractional)
Pd (0.500, 0.500, 0.500)  0.04
Cl (0.000, 0.000, 0.000)  0.00
Re (0.000, 0.500, 0.000)  0.63
Pb (0.500, 0.000, 0.000)  -0.02
Pb (0.000, 0.000, 0.500)  0.00



No. 3
Below is crystalline TcPdPbCl2 at its relaxed geometry, with properties calculated at the PBE-GGA level.

Calculated values
The value obtained for the total magnetization is 4.19 μB per formula unit. The electronic total energy comes out at -4.016 eV/atom. The calculation puts the uncorrected formation energy at 576 meV/atom. As for the crystal system: tetragonal. As for the density of states at the Fermi level: 2.67 states/eV/cell. The energy relative to the lowest polymorph listed for this composition is 0.3872 eV/atom. The volume comes out at 129.7 Å³ per cell.

Cell lengths 4.721, 5.818, 4.721 Å; angles 90.00, 90.00, 90.00 degrees
Last column: magnetic moment on the atom in μB.
Element x y z (fractional)
Pb (0.000, 0.500, 0.000)  -0.11
Cl (0.500, 0.000, 0.000)  0.04
Cl (0.000, 0.000, 0.500)  0.04
Pd (0.000, 0.000, 0.000)  0.06
Tc (0.500, 0.500, 0.500)  3.62



No. 4
Below is crystalline TcPdPbCl2 at its relaxed geometry, with properties calculated at the PBE-GGA level.

Calculated values
The value obtained for the total magnetization is 0.00 μB per formula unit. The electronic total energy comes out at -4.403 eV/atom. The calculation puts the uncorrected formation energy at 189 meV/atom. As for the crystal system: tetragonal. As for the density of states at the Fermi level: 4.71 states/eV/cell. The energy relative to the lowest polymorph listed for this composition is 0.0000 eV/atom. The volume comes out at 113.7 Å³ per cell.

Cell lengths 4.565, 5.457, 4.565 Å; angles 90.00, 90.00, 90.00 degrees
Element x y z (fractional)
Cl (0.500, 0.000, 0.000)
Cl (0.000, 0.000, 0.500)
Pb (0.500, 0.500, 0.500)
Tc (0.000, 0.000, 0.000)
Pd (0.000, 0.500, 0.000)



No. 5
Below is crystalline Tl2PdPbCl6 at its relaxed geometry, with properties calculated at the PBE-GGA level.

Calculated values
The value obtained for the total magnetization is 1.21 μB per formula unit. The electronic total energy comes out at -3.269 eV/atom. The calculation puts the uncorrected formation energy at -797 meV/atom. As for the crystal system: trigonal. As for the density of states at the Fermi level: 7.26 states/eV/cell. The volume comes out at 610.6 Å³ per cell.

Cell lengths 7.509, 7.509, 13.234 Å; angles 73.52, 73.52, 60.00 degrees
Last column: magnetic moment on the atom in μB.
Element x y z (fractional)
Pd (0.500, 0.500, 0.500)  1.05
Pd (0.000, 0.000, 0.000)  0.40
Tl (0.861, 0.861, 0.417)  0.00
Tl (0.727, 0.727, 0.819)  0.01
Tl (0.139, 0.139, 0.583)  0.00
Tl (0.273, 0.273, 0.181)  0.01
Cl (0.192, 0.737, 0.879)  0.03
Cl (0.263, 0.808, 0.121)  0.03
Cl (0.808, 0.263, 0.121)  0.03
Cl (0.127, 0.629, 0.614)  0.08
Cl (0.873, 0.371, 0.386)  0.08
Cl (0.371, 0.873, 0.386)  0.08
Cl (0.737, 0.192, 0.879)  0.03
Cl (0.192, 0.192, 0.879)  0.03
Cl (0.629, 0.127, 0.614)  0.08
Cl (0.371, 0.371, 0.386)  0.08
Cl (0.808, 0.808, 0.121)  0.03
Cl (0.629, 0.629, 0.614)  0.08
Pb (0.409, 0.409, 0.772)  0.02
Pb (0.591, 0.591, 0.228)  0.02



No. 6
Below is crystalline Tl2PdPbCl at its relaxed geometry, with properties calculated at the PBE-GGA level.

Calculated values
The value obtained for the total magnetization is 0.00 μB per formula unit. The electronic total energy comes out at -3.138 eV/atom. The calculation puts the uncorrected formation energy at -41 meV/atom. As for the crystal system: tetragonal. As for the density of states at the Fermi level: 2.79 states/eV/cell. The volume comes out at 147.5 Å³ per cell.

Cell lengths 5.604, 4.697, 5.604 Å; angles 90.00, 90.00, 90.00 degrees
Element x y z (fractional)
Tl (0.500, 0.000, 0.000)
Tl (0.000, 0.000, 0.500)
Pb (0.500, 0.500, 0.500)
Cl (0.000, 0.500, 0.000)
Pd (0.000, 0.000, 0.000)



> Look up the total magnetization of the fourth one.

0.00 μB per formula unit



> Among the records above, which one has the highest electronic total energy?

RbPd2PbCl